This record from the Alexandria database describes a geometry-optimized CrCdIn2 structure. The functional is PBE-GGA.

- calculated total energy (eV/atom) = -3.704
- mass density (g/cm³) = 7.550
- DOS at the Fermi energy (states/eV per cell) = 4.96
- total magnetization (μB/atom) = 0.8812
- crystal system = orthorhombic

Cell lengths 3.6928, 4.6742, 10.0425 Å; angles 90.00, 90.00, 90.00 degrees
Closest atoms and distances in Å follow each position.
Space group Imm2 (No. 44)
Asymmetric unit:
Cr (0.0000, 0.0000, 0.0000) x2  6 In 2.94-2.98, 2 Cd 2.95
Cd (0.0000, 0.5000, 0.2713) x2  2 Cr 2.95, 6 In 3.01-3.27
In (0.0000, 0.0000, 0.4984) x2  4 Cr 2.98, 4 Cd 3.27-3.30, 4 In 3.28-3.29
In (0.0000, 0.5000, 0.7274) x2  2 Cr 2.94, 4 Cd 3.01, 4 In 3.28-3.29

This record from the Alexandria database describes a geometry-optimized Ce2Se3O9 structure. The functional is PBE-GGA.

- mass density (g/cm³) = 5.073
- DOS at the Fermi energy (states/eV per cell) = 62.91
- total magnetization (μB/atom) = 0.1429
- E_form (uncorrected) (kJ/mol of formula units) = -2413
- crystal system = orthorhombic

Cell lengths 8.4907, 14.3780, 7.0910 Å; angles 90.00, 90.00, 90.00 degrees
Closest atoms and distances in Å follow each position.
Space group Pnma (No. 62)
Asymmetric unit:
Ce (0.2003, 0.0631, 0.1803) x8  8 O 2.45-2.71
Se (0.0419, 0.7500, 0.9055) x4  3 O 1.72-1.74
Se (0.0474, 0.1252, 0.6791) x8  3 O 1.71-1.75
O (0.0547, 0.6534, 0.7585) x8  1 Se 1.74
O (0.0741, 0.0395, 0.8519) x8  1 Se 1.75
O (0.1198, 0.5754, 0.4111) x8  1 Se 1.71
O (0.1596, 0.2500, 0.0686) x4  1 Se 1.72
O (0.2018, 0.0971, 0.5302) x8  1 Se 1.73